Record 1
Mg2H5Ir3 | PBE | relaxed

Cell lengths 4.7806, 2.9374, 7.1689 Å; angles 78.20, 97.70, 89.97 degrees
Fractional positions:
Mg (0.6365, 0.0298, 0.7393)
Mg (0.2339, 0.8510, 0.0964)
H (0.6691, 0.8357, 0.1252)
H (0.9272, 0.2613, 0.2744)
H (0.4450, 0.4496, 0.8977)
H (0.8123, 0.5923, 0.6131)
H (0.9592, 0.4292, 0.9387)
Ir (0.2708, 0.1883, 0.4213)
Ir (0.7473, 0.7196, 0.3587)
Ir (0.1371, 0.5217, 0.7536)

Values from the calculation:
offset from the most stable computed form: 1.3 kJ/mol of atoms
total moment: 0.0 μB per formula unit

Record 2
Tl2ZnBi2 | PBE | relaxed

Cell lengths 4.5305, 4.5305, 9.2323 Å; angles 75.80, 75.80, 90.00 degrees
Fractional positions:
Zn (0.0000, 0.0000, 0.0000)
Tl (0.4022, 0.4022, 0.1955)
Tl (0.5978, 0.5978, 0.8045)
Bi (0.7500, 0.2500, 0.5000)
Bi (0.2500, 0.7500, 0.5000)

Values from the calculation:
offset from the most stable computed form: 10.7 kJ/mol of atoms
total moment: 0.0 μB per formula unit
formation energy: 0.18 eV/atom

Record 3
Sr3SbO8 | PBE | relaxed

Cell lengths 5.6039, 5.6039, 7.0571 Å; angles 113.39, 113.39, 90.00 degrees
Each line ends with the local moment (μB).
Fractional positions:
Sr (0.7500, 0.2500, 0.5000)  0.00
Sr (0.5000, 0.5000, 0.0000)  0.01
Sr (0.2500, 0.7500, 0.5000)  0.00
Sb (0.0000, 0.0000, 0.0000)  -0.06
O (0.3234, 0.3234, 0.2202)  0.53
O (0.3234, 0.8968, 0.2202)  0.53
O (0.1032, 0.6766, 0.7798)  0.53
O (0.1032, 0.1032, 0.7798)  0.53
O (0.8968, 0.8968, 0.2202)  0.53
O (0.8968, 0.3234, 0.2202)  0.53
O (0.6766, 0.1032, 0.7798)  0.53
O (0.6766, 0.6766, 0.7798)  0.53

Values from the calculation:
total moment: 5.0 μB per formula unit
raw formation energy: -1492 meV/atom